*one*
Ta2SiSe PBE optimized geometry; total moment = 0.00 μB/atom; SG = No. 12
1.0
-3.224 -2.240 -2.140
-0.613 -3.670 -2.480
-1.597 -3.806 3.750
Ta Si Se
2 1 1
Direct
0.999 0.999 0.005 Ta
0.501 0.501 0.495 Ta
0.250 0.250 0.250 Si
0.750 0.750 0.750 Se

***

*two*
Ta2SiSe PBE optimized geometry; total moment = 0.00 μB/atom; SG = No. 122
1.0
-1.722 -0.045 3.617
3.610 -0.271 1.715
1.458 8.973 3.024
Ta Se Si
4 2 2
Direct
0.130 0.625 0.250 Ta
0.375 0.380 0.750 Ta
0.875 0.870 0.750 Ta
0.620 0.125 0.250 Ta
0.000 0.000 0.000 Se
0.750 0.250 0.500 Se
0.500 0.500 0.000 Si
0.250 0.750 0.500 Si

***

Q: Which of them is the most stable? A: *one*.

***

*one*
TaSiSe3 PBE optimized geometry; total moment = 0.36 μB/atom; SG = No. 221
1.0
4.720 0.000 0.000
0.000 4.720 0.000
0.000 0.000 4.720
Se Si Ta
3 1 1
Direct
0.000 0.000 0.500 Se
0.500 0.000 0.000 Se
0.000 0.500 0.000 Se
0.000 0.000 0.000 Si
0.500 0.500 0.500 Ta

***

*two*
TaSiSe3 PBE optimized geometry; total moment = 0.14 μB/atom; SG = No. 221
1.0
-0.734 3.005 3.961
-4.092 -2.639 1.244
2.824 -3.043 2.832
Si Se Ta
1 3 1
Direct
0.500 0.500 0.500 Si
0.000 0.000 0.500 Se
0.000 0.500 0.000 Se
0.500 0.000 0.000 Se
0.000 0.000 0.000 Ta

***

Q: Which of them is the most stable? A: *two*.

***

*one*
TbSiSe3 PBE optimized geometry; total moment = 0.00 μB/atom; SG = No. 14
1.0
-1.185 -6.705 -0.070
6.475 -1.105 -3.741
4.763 -0.446 8.375
Tb Se Si
4 12 4
Direct
0.544 0.126 0.250 Tb
0.456 0.874 0.750 Tb
0.956 0.626 0.250 Tb
0.044 0.374 0.750 Tb
0.652 0.808 0.433 Se
0.349 0.474 0.270 Se
0.849 0.026 0.770 Se
0.651 0.825 0.070 Se
0.152 0.692 0.933 Se
0.349 0.175 0.930 Se
0.849 0.325 0.430 Se
0.651 0.526 0.730 Se
0.848 0.308 0.067 Se
0.151 0.974 0.230 Se
0.151 0.675 0.570 Se
0.348 0.192 0.567 Se
0.921 0.898 0.565 Si
0.421 0.602 0.065 Si
0.079 0.102 0.435 Si
0.579 0.398 0.935 Si

***

*two*
TbSiSe3 PBE optimized geometry; total moment = 0.00 μB/atom; SG = No. 33
1.0
-4.075 -3.695 3.635
6.187 -3.516 3.361
0.064 6.370 6.546
Tb Se Si
4 12 4
Direct
0.968 0.885 0.225 Tb
0.032 0.115 0.725 Tb
0.468 0.615 0.725 Tb
0.532 0.385 0.225 Tb
0.337 0.321 0.534 Se
0.163 0.821 0.534 Se
0.118 0.534 0.238 Se
0.882 0.466 0.738 Se
0.382 0.034 0.238 Se
0.660 0.671 0.419 Se
0.340 0.329 0.919 Se
0.160 0.829 0.919 Se
0.837 0.179 0.034 Se
0.663 0.679 0.034 Se
0.618 0.966 0.738 Se
0.840 0.171 0.419 Se
0.023 0.433 0.994 Si
0.523 0.067 0.494 Si
0.477 0.933 0.994 Si
0.977 0.567 0.494 Si

***

Q: Which of them is the most stable? A: *one*.